Computed, not measured: YCrO2F after structural relaxation at the GGA+U level of DFT.

Calculated values
SG = No. 123
Total DFT energy (no corrections) = -7.4311 eV/atom
Total magnetic moment = 3.6 Bohr magnetons per cell

Cell: 3.971 3.971 3.951 Å, 90.00 90.00 90.00°
Atoms (fractional coordinates):
Y1 0.000 0.000 0.000
Cr1 0.500 0.500 0.500
O1 0.000 0.500 0.500
O2 0.500 0.000 0.500
F1 0.500 0.500 0.000